Here is ZrNiNF2 after structural relaxation from Alexandria via LeMat-Bulk. Energies are from PBE+U.

Cell and atoms, written as POSCAR:
```
ZrNiNF2
1.0
4.1804 0.0000 0.0000
0.0000 4.1804 0.0000
0.0000 0.0000 4.2446
N F Zr Ni
1 2 1 1
Direct
0.0000 0.0000 0.5000 N
0.0000 0.5000 0.0000 F
0.5000 0.0000 0.0000 F
0.0000 0.0000 0.0000 Zr
0.5000 0.5000 0.5000 Ni
```

Output
space-group type	No. 123
raw total energy	-6.03	eV/atom
energy above the most stable polymorph in this dataset	0	meV per atom
theoretical density	4.520	g/cm3